Mn3Nb2Cr3O16 | PBE with a Hubbard U | relaxed

abc: 5.8989 5.9104 9.3115
angles: 89.12 89.91 60.50
Element x y z (fractional)
Mn: 0.0000 0.0000 0.0000
Mn: 0.1691 0.1826 0.5040
Mn: 0.6627 0.1815 0.5038
Nb: 0.1649 0.6892 0.2897
Nb: 0.5026 0.0031 0.7886
Cr: 0.0111 0.5010 0.0131
Cr: 0.4940 0.5088 0.9996
Cr: 0.6629 0.6883 0.5031
O: 0.0023 0.5163 0.3890
O: 0.1498 0.6799 0.8976
O: 0.1729 0.1711 0.8914
O: 0.3014 0.3893 0.1291
O: 0.3020 0.8265 0.1210
O: 0.3444 0.8798 0.6245
O: 0.3531 0.3091 0.6200
O: 0.4912 0.0299 0.3983
O: 0.4967 0.5151 0.3868
O: 0.6669 0.1727 0.8879
O: 0.6707 0.6768 0.8867
O: 0.7872 0.8808 0.6242
O: 0.8364 0.3408 0.5997
O: 0.8417 0.3337 0.0935
O: 0.8729 0.8232 0.1243
O: 0.9969 0.0187 0.3904

Summary:
As for the energy: -0.5739 Ry/atom. The value obtained for the magnetic moment is 17.00 μB per formula unit.